(1)
# TlPb5Au | the Alexandria database | GGA-PBE | relaxed
# ΔH_f (0 K) in meV per atom: 12
# D(E_F) in states/eV per cell: 3.93
data_TlPb5Au
_space_group_name_H-M_alt 'P 4/m m m'
_space_group_IT_number 123
_space_group_name_Hall '-P 4 2'
_cell_length_a 4.919
_cell_length_b 4.919
_cell_length_c 8.779
_cell_angle_alpha 90.00
_cell_angle_beta 90.00
_cell_angle_gamma 90.00
loop_
_atom_site_label
_atom_site_type_symbol
_atom_site_fract_x
_atom_site_fract_y
_atom_site_fract_z
Tl1 Tl 0.000 0.000 0.000
Pb1 Pb 0.000 0.500 0.294
Pb2 Pb 0.500 0.500 0.000
Au1 Au 0.500 0.500 0.500



(2)
# TlPbAu2 | the Alexandria database | GGA-PBE | relaxed
# ΔH_f (0 K) in meV per atom: 70
# D(E_F) in states/eV per cell: 7.44
data_TlPbAu2
_space_group_name_H-M_alt 'I -4 2 d'
_space_group_IT_number 122
_space_group_name_Hall 'I -4 2bw'
_cell_length_a 8.045
_cell_length_b 8.045
_cell_length_c 6.322
_cell_angle_alpha 90.00
_cell_angle_beta 90.00
_cell_angle_gamma 90.00
loop_
_atom_site_label
_atom_site_type_symbol
_atom_site_fract_x
_atom_site_fract_y
_atom_site_fract_z
Tl1 Tl 0.000 0.000 0.000
Pb1 Pb 0.000 0.000 0.500
Au1 Au 0.250 0.250 0.125



(3)
# TlPb2Au | the Alexandria database | GGA-PBE | relaxed
# ΔH_f (0 K) in meV per atom: -67
# D(E_F) in states/eV per cell: 5.56
data_TlPb2Au
_space_group_name_H-M_alt 'C m c m'
_space_group_IT_number 63
_space_group_name_Hall '-C 2c 2'
_cell_length_a 4.694
_cell_length_b 11.871
_cell_length_c 8.290
_cell_angle_alpha 90.00
_cell_angle_beta 90.00
_cell_angle_gamma 90.00
loop_
_atom_site_label
_atom_site_type_symbol
_atom_site_fract_x
_atom_site_fract_y
_atom_site_fract_z
Tl1 Tl 0.000 0.067 0.250
Pb1 Pb 0.000 0.359 0.044
Au1 Au 0.000 0.210 0.750



(4)
# YTlPbAu | the Alexandria database | GGA-PBE | relaxed
# ΔH_f (0 K) in meV per atom: -279
# D(E_F) in states/eV per cell: 7.93
data_YTlPbAu
_space_group_name_H-M_alt 'F -4 3 m'
_space_group_IT_number 216
_space_group_name_Hall 'F -4 2 3'
_cell_length_a 7.441
_cell_length_b 7.441
_cell_length_c 7.441
_cell_angle_alpha 90.00
_cell_angle_beta 90.00
_cell_angle_gamma 90.00
loop_
_atom_site_label
_atom_site_type_symbol
_atom_site_fract_x
_atom_site_fract_y
_atom_site_fract_z
Y1 Y 0.000 0.000 0.000
Tl1 Tl 0.250 0.250 0.750
Pb1 Pb 0.000 0.000 0.500
Au1 Au 0.250 0.250 0.250



| no. | theoretical density (g/cm³) |
| --- | --- |
| 1 | 11.235 |
| 2 | 13.077 |
| 3 | 11.731 |
| 4 | 11.245 |